AgRhC2 | Alexandria | PBEsol | optimized geometry; crystal system = cubic; theoretical density = 9.40 g/cm3; total energy = -5.741 eV per atom; spin magnetization = 0.0 μB per formula unit
1.0
3.885 0.000 0.000
1.943 3.365 0.000
1.943 1.122 3.172
C Rh Ag
2 1 1
Direct
0.250 0.250 0.250
0.750 0.750 0.750
0.000 0.000 0.000
0.500 0.500 0.500